Record 1
{"formula": "Li2ScTa", "functional": "PBE-GGA", "state": "optimized geometry", "lattice": [[-4.989, 1.197, -2.375], [-4.535, 0.115, 3.374], [5.025, 2.063, -1.568]], "species": ["Li", "Li", "Sc", "Ta"], "fractional_positions": [[0.979, 0.979, 0.000], [0.772, 0.272, 0.500], [0.508, 0.508, 0.000], [0.241, 0.741, 0.500]], "de_polymorph_kcal_per_mol_atoms": 5.75, "sg": "Imm2"}

Record 2
{"formula": "CaLa3Pr2Sm6", "functional": "PBE-GGA", "state": "optimized geometry", "lattice": [[-3.318, 4.935, -2.352], [2.297, -4.484, -3.939], [-9.838, -6.423, 3.316]], "species": ["Ca", "La", "La", "La", "Pr", "Pr", "Sm", "Sm", "Sm", "Sm", "Sm", "Sm"], "fractional_positions": [[0.000, 0.000, 0.000], [0.166, 0.834, 0.500], [0.834, 0.166, 0.500], [0.500, 0.500, 0.500], [0.333, 0.667, 0.000], [0.667, 0.333, 0.000], [0.916, 0.578, 0.749], [0.746, 0.746, 0.251], [0.084, 0.422, 0.251], [0.578, 0.916, 0.749], [0.254, 0.254, 0.749], [0.422, 0.084, 0.251]], "e_tot_ev_per_atom": -4.520, "sg": "C2/m"}

Record 3
{"formula": "PuTcMoOs", "functional": "PBE-GGA", "state": "optimized geometry", "lattice": [[-1.490, -4.226, -0.802], [2.588, -3.576, 1.113], [-1.202, -2.687, 3.473]], "species": ["Mo", "Os", "Tc", "Pu"], "fractional_positions": [[0.000, 0.000, 0.000], [0.750, 0.750, 0.750], [0.500, 0.500, 0.500], [0.250, 0.250, 0.250]], "e_tot_ev_per_atom": -11.449, "sg": "F-43m"}

Record 4
{"formula": "RbTe2Rh", "functional": "PBE-GGA", "state": "optimized geometry", "lattice": [[4.167, 0.000, 0.000], [2.083, 3.609, 0.000], [2.083, 1.203, 8.014]], "species": ["Rb", "Te", "Te", "Rh"], "fractional_positions": [[0.499, 0.499, 0.503], [0.053, 0.053, 0.841], [0.281, 0.281, 0.157], [0.667, 0.667, 0.999]], "sg": "R3m", "e_form_raw_ev_per_atom": -0.604}

Record 5
{"formula": "PmGa2SiIr2", "functional": "PBE-GGA", "state": "optimized geometry", "lattice": [[-1.200, -1.437, -4.157], [2.243, -3.907, 0.703], [-4.610, -2.267, 2.114]], "species": ["Pm", "Ga", "Ga", "Si", "Ir", "Ir"], "fractional_positions": [[0.000, 0.000, 0.500], [0.500, 0.500, 0.736], [0.500, 0.500, 0.264], [0.000, 0.000, 0.000], [0.500, 0.000, 0.000], [0.000, 0.500, 0.000]], "sg": "P4/mmm", "e_form_raw_ev_per_atom": -0.376}

Record 6
{"formula": "LaPm7Y2", "functional": "PBE-GGA", "state": "optimized geometry", "lattice": [[-1.728, 3.572, -3.936], [-7.255, -2.874, 0.576], [1.046, 8.721, 3.489]], "species": ["La", "Pm", "Pm", "Pm", "Pm", "Pm", "Pm", "Pm", "Y", "Y"], "fractional_positions": [[0.000, 0.000, 0.000], [0.844, 0.656, 0.312], [0.156, 0.344, 0.688], [0.630, 0.672, 0.741], [0.370, 0.328, 0.259], [0.370, 0.930, 0.259], [0.630, 0.070, 0.741], [0.500, 0.500, 0.000], [0.215, 0.785, 0.571], [0.785, 0.215, 0.429]], "de_polymorph_kcal_per_mol_atoms": 0.00, "sg": "Immm"}